Entry 1:
Material: RbCrRe2W
Method: DFT, PBE
State: optimized geometry

Structure (POSCAR):
```
RbCrRe2W
1.0
4.8978 0.0000 0.0000
0.0000 5.0787 0.0000
0.0000 0.0000 4.8978
Rb Cr Re W
1 1 2 1
Direct
0.5000 0.5000 0.5000
0.0000 0.5000 0.0000
0.5000 0.0000 0.0000
0.0000 0.0000 0.5000
0.0000 0.0000 0.0000
```

Values from the calculation:
space group = No. 123
energy of formation = 1.97 eV/atom
N(E_F) = 3.60 states/eV/cell
calculated density = 9.5 Mg/m³
total DFT energy (no corrections) = -0.5675 Ry/atom



Entry 2:
Material: KMnNi
Method: DFT, PBE
State: optimized geometry

Structure (POSCAR):
```
KMnNi
1.0
-3.4859 1.9591 0.7986
0.1192 -2.8394 -2.9241
-2.6055 -7.6021 7.2757
Mn Ni K
2 2 2
Direct
0.6667 0.3333 0.2500
0.3333 0.6667 0.7500
0.3333 0.6667 0.2500
0.6667 0.3333 0.7500
0.0000 0.0000 0.0000
0.0000 0.0000 0.5000
```

Values from the calculation:
space group = No. 194
energy of formation = 0.74 eV/atom
N(E_F) = 5.34 states/eV/cell
calculated density = 3.2 Mg/m³
offset from the most stable computed form = 0.380 eV/atom
total DFT energy (no corrections) = -0.3386 Ry/atom



Entry 3:
Material: FeCuTeAsOs
Method: DFT, PBE
State: optimized geometry

Structure (POSCAR):
```
FeCuTeAsOs
1.0
7.0168 0.0000 0.0094
0.0000 3.7512 0.0000
-1.2357 0.0000 6.7728
Cu As Te Os Fe
2 2 2 2 2
Direct
0.0197 0.0000 0.7454
0.0197 0.5000 0.2454
0.2308 0.5000 0.5792
0.2308 0.0000 0.0792
0.7431 0.0000 0.2089
0.7431 0.5000 0.7089
0.4904 0.0000 0.4728
0.4904 0.5000 0.9728
0.3785 0.0000 0.7793
0.3785 0.5000 0.2793
```

Values from the calculation:
space group = No. 8
N(E_F) = 7.49 states/eV/cell
energy relative to the elements, uncorrected = 0.286 eV/atom
calculated density = 9.5 Mg/m³
offset from the most stable computed form = 0.170 eV/atom
total DFT energy (no corrections) = -0.4432 Ry/atom